1.
SrLaAl | the Alexandria database | PBE-GGA | optimized geometry; energy above the lowest structure with this stoichiometry = 0.023 eV per atom; E_form = -0.183 eV per atom; SG = P6_3/mmc (194); uncorrected energy = -3.634 eV/atom; volume = 195.3 Å³ per cell
1.0
4.836 -2.792 0.000
0.000 5.584 0.000
0.000 0.000 7.230
Sr La Al
2 2 2
direct
0.000 0.000 0.000
0.000 0.000 0.500
0.667 0.333 0.250
0.333 0.667 0.750
0.333 0.667 0.250
0.667 0.333 0.750

2.
Ce3PuPt2 | the Alexandria database | PBE-GGA | optimized geometry; E_form = -0.638 eV per atom; SG = Cmmm (65); uncorrected energy = -8.007 eV/atom; volume = 284.5 Å³ per cell
1.0
-4.633 1.537 -2.100
-2.256 -6.878 -0.055
0.651 3.533 7.871
Ce Pt Pu
6 4 2
direct
0.813 0.563 0.626
0.500 0.750 0.000
0.187 0.437 0.374
0.187 0.937 0.374
0.500 0.250 0.000
0.813 0.063 0.626
0.347 0.847 0.693
0.653 0.653 0.307
0.347 0.347 0.693
0.653 0.153 0.307
0.000 0.500 0.000
0.000 0.000 0.000